Arrangement P

# PBE CaSc2Hg2, relaxed
# Space-group type: I4/mmm (139)
data_CaSc2Hg2
_space_group_name_H-M_alt 'P 1'
_space_group_IT_number 1
_cell_length_a 7.5194
_cell_length_b 7.5194
_cell_length_c 7.5194
_cell_angle_alpha 146.02
_cell_angle_beta 146.02
_cell_angle_gamma 48.82
loop_
_space_group_symop_operation_xyz
'x,y,z'
loop_
_atom_site_label
_atom_site_fract_x
_atom_site_fract_y
_atom_site_fract_z
Ca1 0.0000 0.0000 0.0000
Sc1 0.2500 0.7500 0.5000
Sc2 0.7500 0.2500 0.5000
Hg1 0.3957 0.3957 0.0000
Hg2 0.6043 0.6043 0.0000

Arrangement Q

# PBE CaSc2Hg2, relaxed
# Space-group type: P4/mbm (127)
data_CaSc2Hg2
_space_group_name_H-M_alt 'P 1'
_space_group_IT_number 1
_cell_length_a 8.2913
_cell_length_b 8.2913
_cell_length_c 3.5996
_cell_angle_alpha 90.00
_cell_angle_beta 90.00
_cell_angle_gamma 90.00
loop_
_space_group_symop_operation_xyz
'x,y,z'
loop_
_atom_site_label
_atom_site_fract_x
_atom_site_fract_y
_atom_site_fract_z
Ca1 0.0000 0.0000 0.0000
Ca2 0.5000 0.5000 0.0000
Sc1 0.1615 0.3385 0.5000
Sc2 0.3385 0.8385 0.5000
Sc3 0.6615 0.1615 0.5000
Sc4 0.8385 0.6615 0.5000
Hg1 0.1358 0.6358 0.0000
Hg2 0.3642 0.1358 0.0000
Hg3 0.6358 0.8642 0.0000
Hg4 0.8642 0.3642 0.0000

Relative energies, in meV/atom, with the most stable structure set to zero: arrangement P 80; arrangement Q 0.

Arrangement P

# PBE Ca2HgSe, relaxed
# Space-group type: R-3m (166)
data_Ca2HgSe
_space_group_name_H-M_alt 'P 1'
_space_group_IT_number 1
_cell_length_a 8.2938
_cell_length_b 8.2938
_cell_length_c 8.2938
_cell_angle_alpha 28.63
_cell_angle_beta 28.63
_cell_angle_gamma 28.63
loop_
_space_group_symop_operation_xyz
'x,y,z'
loop_
_atom_site_label
_atom_site_fract_x
_atom_site_fract_y
_atom_site_fract_z
Ca1 0.2401 0.2401 0.2401
Ca2 0.7599 0.7599 0.7599
Hg1 0.0000 0.0000 0.0000
Se1 0.5000 0.5000 0.5000

Arrangement Q

# PBE Ca2HgSe, relaxed
# Space-group type: Amm2 (38)
data_Ca2HgSe
_space_group_name_H-M_alt 'P 1'
_space_group_IT_number 1
_cell_length_a 6.1852
_cell_length_b 4.3460
_cell_length_c 4.3460
_cell_angle_alpha 90.00
_cell_angle_beta 90.00
_cell_angle_gamma 90.00
loop_
_space_group_symop_operation_xyz
'x,y,z'
loop_
_atom_site_label
_atom_site_fract_x
_atom_site_fract_y
_atom_site_fract_z
Ca1 0.0000 0.0000 0.0000
Ca2 0.5000 0.4989 0.4989
Hg1 0.0000 0.5001 0.5001
Se1 0.5000 0.9990 0.9990

Relative energies, in meV/atom, with the most stable structure set to zero: arrangement P 0; arrangement Q 116.

Arrangement P

# PBE Ca2HgSe, relaxed
# Space-group type: I-42d (122)
data_Ca2HgSe
_space_group_name_H-M_alt 'P 1'
_space_group_IT_number 1
_cell_length_a 6.8648
_cell_length_b 6.8648
_cell_length_c 6.8648
_cell_angle_alpha 108.70
_cell_angle_beta 108.70
_cell_angle_gamma 111.03
loop_
_space_group_symop_operation_xyz
'x,y,z'
loop_
_atom_site_label
_atom_site_fract_x
_atom_site_fract_y
_atom_site_fract_z
Ca1 0.0968 0.6250 0.9718
Ca2 0.3750 0.3468 0.4718
Ca3 0.6532 0.1250 0.0282
Ca4 0.8750 0.9032 0.5282
Hg1 0.2500 0.7500 0.5000
Hg2 0.5000 0.5000 0.0000
Se1 0.0000 0.0000 0.0000
Se2 0.7500 0.2500 0.5000

Arrangement Q

# PBE Ca2HgSe, relaxed
# Space-group type: P2/m (10)
data_Ca2HgSe
_space_group_name_H-M_alt 'P 1'
_space_group_IT_number 1
_cell_length_a 3.7592
_cell_length_b 3.7535
_cell_length_c 7.2966
_cell_angle_alpha 90.00
_cell_angle_beta 90.07
_cell_angle_gamma 90.00
loop_
_space_group_symop_operation_xyz
'x,y,z'
loop_
_atom_site_label
_atom_site_fract_x
_atom_site_fract_y
_atom_site_fract_z
Ca1 0.0008 0.0000 0.2609
Ca2 0.9992 0.0000 0.7391
Hg1 0.5000 0.5000 0.0000
Se1 0.5000 0.5000 0.5000

Arrangement R

# PBE Ca2HgSe, relaxed
# Space-group type: F-43m (216)
data_Ca2HgSe
_space_group_name_H-M_alt 'P 1'
_space_group_IT_number 1
_cell_length_a 5.3782
_cell_length_b 5.3782
_cell_length_c 5.3782
_cell_angle_alpha 60.00
_cell_angle_beta 60.00
_cell_angle_gamma 60.00
loop_
_space_group_symop_operation_xyz
'x,y,z'
loop_
_atom_site_label
_atom_site_fract_x
_atom_site_fract_y
_atom_site_fract_z
Ca1 0.0000 0.0000 0.0000
Ca2 0.2500 0.2500 0.2500
Hg1 0.7500 0.7500 0.7500
Se1 0.5000 0.5000 0.5000

Arrangement S

# PBE Ca2HgSe, relaxed
# Space-group type: Cm (8)
data_Ca2HgSe
_space_group_name_H-M_alt 'P 1'
_space_group_IT_number 1
_cell_length_a 7.8120
_cell_length_b 7.8120
_cell_length_c 4.1577
_cell_angle_alpha 105.41
_cell_angle_beta 105.41
_cell_angle_gamma 28.71
loop_
_space_group_symop_operation_xyz
'x,y,z'
loop_
_atom_site_label
_atom_site_fract_x
_atom_site_fract_y
_atom_site_fract_z
Ca1 0.0000 0.0000 0.0000
Ca2 0.2316 0.2316 0.7328
Hg1 0.8263 0.8263 0.3275
Se1 0.5711 0.5711 0.5708

Relative energies, in meV/atom, with the most stable structure set to zero: arrangement P 136; arrangement Q 0; arrangement R 682; arrangement S 42.

Arrangement P

# PBE Ca2HgSe, relaxed
# Space-group type: I4/mmm (139)
data_Ca2HgSe
_space_group_name_H-M_alt 'P 1'
_space_group_IT_number 1
_cell_length_a 5.5711
_cell_length_b 5.5711
_cell_length_c 5.5711
_cell_angle_alpha 127.49
_cell_angle_beta 127.49
_cell_angle_gamma 77.45
loop_
_space_group_symop_operation_xyz
'x,y,z'
loop_
_atom_site_label
_atom_site_fract_x
_atom_site_fract_y
_atom_site_fract_z
Ca1 0.2500 0.7500 0.5000
Ca2 0.7500 0.2500 0.5000
Hg1 0.0000 0.0000 0.0000
Se1 0.5000 0.5000 0.0000

Arrangement Q

# PBE Ca2HgSe, relaxed
# Space-group type: Fm-3m (225)
data_Ca2HgSe
_space_group_name_H-M_alt 'P 1'
_space_group_IT_number 1
_cell_length_a 5.3246
_cell_length_b 5.3246
_cell_length_c 5.3246
_cell_angle_alpha 60.00
_cell_angle_beta 60.00
_cell_angle_gamma 60.00
loop_
_space_group_symop_operation_xyz
'x,y,z'
loop_
_atom_site_label
_atom_site_fract_x
_atom_site_fract_y
_atom_site_fract_z
Ca1 0.2500 0.2500 0.2500
Ca2 0.7500 0.7500 0.7500
Hg1 0.0000 0.0000 0.0000
Se1 0.5000 0.5000 0.5000

Relative energies, in meV/atom, with the most stable structure set to zero: arrangement P 0; arrangement Q 18.

Arrangement P

# PBE Ca2HgSe2, relaxed
# Space-group type: P4/mbm (127)
data_Ca2HgSe2
_space_group_name_H-M_alt 'P 1'
_space_group_IT_number 1
_cell_length_a 8.3180
_cell_length_b 8.3180
_cell_length_c 3.7513
_cell_angle_alpha 90.00
_cell_angle_beta 90.00
_cell_angle_gamma 90.00
loop_
_space_group_symop_operation_xyz
'x,y,z'
loop_
_atom_site_label
_atom_site_fract_x
_atom_site_fract_y
_atom_site_fract_z
Ca1 0.1544 0.3456 0.0000
Ca2 0.3456 0.8456 0.0000
Ca3 0.6544 0.1544 0.0000
Ca4 0.8456 0.6544 0.0000
Hg1 0.0000 0.0000 0.5000
Hg2 0.5000 0.5000 0.5000
Se1 0.1472 0.6472 0.5000
Se2 0.3528 0.1472 0.5000
Se3 0.6472 0.8528 0.5000
Se4 0.8528 0.3528 0.5000

Arrangement Q

# PBE Ca2HgSe2, relaxed
# Space-group type: P4/mbm (127)
data_Ca2HgSe2
_space_group_name_H-M_alt 'P 1'
_space_group_IT_number 1
_cell_length_a 8.2801
_cell_length_b 8.2801
_cell_length_c 3.7936
_cell_angle_alpha 90.00
_cell_angle_beta 90.00
_cell_angle_gamma 90.00
loop_
_space_group_symop_operation_xyz
'x,y,z'
loop_
_atom_site_label
_atom_site_fract_x
_atom_site_fract_y
_atom_site_fract_z
Ca1 0.1475 0.3525 0.0000
Ca2 0.3525 0.8525 0.0000
Ca3 0.6475 0.1475 0.0000
Ca4 0.8525 0.6475 0.0000
Hg1 0.0000 0.0000 0.0000
Hg2 0.5000 0.5000 0.0000
Se1 0.1536 0.6536 0.5000
Se2 0.3464 0.1536 0.5000
Se3 0.6536 0.8464 0.5000
Se4 0.8464 0.3464 0.5000

Relative energies, in meV/atom, with the most stable structure set to zero: arrangement P 62; arrangement Q 0.

Arrangement P

# PBE Ca2Hg2Se, relaxed
# Space-group type: I4/mmm (139)
data_Ca2Hg2Se
_space_group_name_H-M_alt 'P 1'
_space_group_IT_number 1
_cell_length_a 6.2120
_cell_length_b 6.2120
_cell_length_c 6.2120
_cell_angle_alpha 124.20
_cell_angle_beta 124.20
_cell_angle_gamma 82.87
loop_
_space_group_symop_operation_xyz
'x,y,z'
loop_
_atom_site_label
_atom_site_fract_x
_atom_site_fract_y
_atom_site_fract_z
Ca1 0.2500 0.7500 0.5000
Ca2 0.7500 0.2500 0.5000
Hg1 0.1500 0.1500 0.0000
Hg2 0.8500 0.8500 0.0000
Se1 0.5000 0.5000 0.0000

Arrangement Q

# PBE Ca2Hg2Se, relaxed
# Space-group type: P4/mbm (127)
data_Ca2Hg2Se
_space_group_name_H-M_alt 'P 1'
_space_group_IT_number 1
_cell_length_a 7.8595
_cell_length_b 7.8595
_cell_length_c 4.8556
_cell_angle_alpha 90.00
_cell_angle_beta 90.00
_cell_angle_gamma 90.00
loop_
_space_group_symop_operation_xyz
'x,y,z'
loop_
_atom_site_label
_atom_site_fract_x
_atom_site_fract_y
_atom_site_fract_z
Ca1 0.1810 0.3190 0.0000
Ca2 0.3190 0.8190 0.0000
Ca3 0.6810 0.1810 0.0000
Ca4 0.8190 0.6810 0.0000
Hg1 0.1337 0.6337 0.5000
Hg2 0.3663 0.1337 0.5000
Hg3 0.6337 0.8663 0.5000
Hg4 0.8663 0.3663 0.5000
Se1 0.0000 0.0000 0.0000
Se2 0.5000 0.5000 0.0000

Relative energies, in meV/atom, with the most stable structure set to zero: arrangement P 386; arrangement Q 0.